(1)
# MnAl2W2 (PBE, relaxed)
# - energy of formation from the pure elements (eV per atom) = 0.76
# - magnetic moment (μB per atom) = 0.025
data_MnAl2W2
_chemical_formula_sum 'Mn2 Al4 W4'
_cell_length_a 3.6288
_cell_length_b 3.6288
_cell_length_c 12.7710
_cell_angle_alpha 90.00
_cell_angle_beta 90.00
_cell_angle_gamma 90.00
_space_group_name_H-M_alt 'I 4/m m m'
_space_group_IT_number 139
_space_group_name_Hall '-I 4 2'
loop_
_atom_site_label
_atom_site_fract_x
_atom_site_fract_y
_atom_site_fract_z
_atom_site_occupancy
Mn1 0.0000 0.0000 0.0000 1
Al1 0.0000 0.0000 0.4064 1
W1 0.0000 0.5000 0.2500 1

=====

(2)
# LiPr4In2 (PBE, relaxed)
# - energy of formation from the pure elements (eV per atom) = -0.22
# - magnetic moment (μB per atom) = 0.000
data_LiPr4In2
_chemical_formula_sum 'Li3 Pr12 In6'
_cell_length_a 5.4636
_cell_length_b 5.4636
_cell_length_c 25.7665
_cell_angle_alpha 90.00
_cell_angle_beta 90.00
_cell_angle_gamma 120.00
_space_group_name_H-M_alt 'R -3 m'
_space_group_IT_number 166
_space_group_name_Hall '-R 3 2"'
loop_
_atom_site_label
_atom_site_fract_x
_atom_site_fract_y
_atom_site_fract_z
_atom_site_occupancy
Li1 0.0000 0.0000 0.0000 1
Pr1 0.0000 0.0000 0.1324 1
Pr2 0.0000 0.0000 0.3877 1
In1 0.0000 0.0000 0.2598 1

=====

(3)
# HAuS6 (PBE, relaxed)
# - magnetic moment (μB per atom) = 0.000
# - final energy (eV per cell) = -30.850
data_HAuS6
_chemical_formula_sum 'H1 Au1 S6'
_cell_length_a 5.9904
_cell_length_b 6.5074
_cell_length_c 6.5285
_cell_angle_alpha 87.14
_cell_angle_beta 68.52
_cell_angle_gamma 83.44
_space_group_name_H-M_alt 'P -1'
_space_group_IT_number 2
loop_
_space_group_symop_operation_xyz
'x,y,z'
'-x,-y,-z'
loop_
_atom_site_label
_atom_site_fract_x
_atom_site_fract_y
_atom_site_fract_z
_atom_site_occupancy
H1 0.0000 0.0000 0.0000 1
Au1 0.5000 0.0000 0.0000 1
S1 0.1618 0.1972 0.9797 1
S2 0.2173 0.2305 0.6360 1
S3 0.4640 0.6684 0.5223 1

=====

(4)
# NiGeAs2Br (PBE, relaxed)
# - formation energy from raw total energies (eV per atom) = 0.4529
# - magnetic moment (μB per atom) = 0.079
data_NiGeAs2Br
_chemical_formula_sum 'Ni1 Ge1 As2 Br1'
_cell_length_a 4.5440
_cell_length_b 4.5440
_cell_length_c 5.3195
_cell_angle_alpha 90.00
_cell_angle_beta 90.00
_cell_angle_gamma 90.00
_space_group_name_H-M_alt 'P 4/m m m'
_space_group_IT_number 123
_space_group_name_Hall '-P 4 2'
loop_
_atom_site_label
_atom_site_fract_x
_atom_site_fract_y
_atom_site_fract_z
_atom_site_occupancy
Ni1 0.0000 0.0000 0.0000 1
Ge1 0.5000 0.5000 0.5000 1
As1 0.0000 0.5000 0.0000 1
Br1 0.0000 0.0000 0.5000 1

=====

(5)
# Ba2TcTe (PBE, relaxed)
# - formation energy from raw total energies (eV per atom) = 0.3558
# - magnetic moment (μB per atom) = 0.446
data_Ba2TcTe
_chemical_formula_sum 'Ba8 Tc4 Te4'
_cell_length_a 7.8487
_cell_length_b 7.8487
_cell_length_c 7.8487
_cell_angle_alpha 90.00
_cell_angle_beta 90.00
_cell_angle_gamma 90.00
_space_group_name_H-M_alt 'F -4 3 m'
_space_group_IT_number 216
_space_group_name_Hall 'F -4 2 3'
loop_
_atom_site_label
_atom_site_fract_x
_atom_site_fract_y
_atom_site_fract_z
_atom_site_occupancy
Ba1 0.0000 0.0000 0.0000 1
Ba2 0.2500 0.2500 0.2500 1
Tc1 0.2500 0.2500 0.7500 1
Te1 0.0000 0.0000 0.5000 1

=====

(6)
# Zr2H3Pt (PBE, relaxed)
# - magnetic moment (μB per atom) = 0.000
# - final energy (eV per cell) = -146.886
data_Zr2H3Pt
_chemical_formula_sum 'Zr8 H12 Pt4'
_cell_length_a 13.5602
_cell_length_b 3.3962
_cell_length_c 6.7041
_cell_angle_alpha 90.00
_cell_angle_beta 114.91
_cell_angle_gamma 90.00
_space_group_name_H-M_alt 'C 1 2/m 1'
_space_group_IT_number 12
loop_
_space_group_symop_operation_xyz
'x,y,z'
'-x,-y,-z'
'-x,y,-z'
'x,-y,z'
'x+1/2,y+1/2,z'
'-x+1/2,-y+1/2,-z'
'-x+1/2,y+1/2,-z'
'x+1/2,-y+1/2,z'
loop_
_atom_site_label
_atom_site_fract_x
_atom_site_fract_y
_atom_site_fract_z
_atom_site_occupancy
Zr1 0.0371 0.0000 0.2851 1
Zr2 0.2126 0.5000 0.7345 1
H1 0.0777 0.5000 0.4544 1
H2 0.0931 0.0000 0.6334 1
H3 0.1992 0.0000 0.5008 1
Pt1 0.1137 0.5000 0.0395 1

=====

(7)
# CeY2H (PBE, relaxed)
# - magnetic moment (μB per atom) = 0.179
# - final energy (eV per cell) = -21.564
data_CeY2H
_chemical_formula_sum 'Ce1 Y2 H1'
_cell_length_a 3.3019
_cell_length_b 3.3019
_cell_length_c 8.5728
_cell_angle_alpha 90.00
_cell_angle_beta 90.00
_cell_angle_gamma 90.00
_space_group_name_H-M_alt 'P 4/m m m'
_space_group_IT_number 123
_space_group_name_Hall '-P 4 2'
loop_
_atom_site_label
_atom_site_fract_x
_atom_site_fract_y
_atom_site_fract_z
_atom_site_occupancy
Ce1 0.0000 0.0000 0.0000 1
Y1 0.5000 0.5000 0.3097 1
H1 0.0000 0.0000 0.5000 1

=====

(8)
# Ac8Hg2Ge (PBE, relaxed)
# - energy of formation from the pure elements (eV per atom) = -0.24
# - magnetic moment (μB per atom) = 0.000
data_Ac8Hg2Ge
_chemical_formula_sum 'Ac16 Hg4 Ge2'
_cell_length_a 20.3673
_cell_length_b 5.5833
_cell_length_c 7.5423
_cell_angle_alpha 90.00
_cell_angle_beta 101.94
_cell_angle_gamma 90.00
_space_group_name_H-M_alt 'C 1 2/m 1'
_space_group_IT_number 12
loop_
_space_group_symop_operation_xyz
'x,y,z'
'-x,-y,-z'
'-x,y,-z'
'x,-y,z'
'x+1/2,y+1/2,z'
'-x+1/2,-y+1/2,-z'
'-x+1/2,y+1/2,-z'
'x+1/2,-y+1/2,z'
loop_
_atom_site_label
_atom_site_fract_x
_atom_site_fract_y
_atom_site_fract_z
_atom_site_occupancy
Ac1 0.0204 0.0000 0.2754 1
Ac2 0.0902 0.5000 0.9495 1
Ac3 0.1573 0.5000 0.4763 1
Ac4 0.2077 0.0000 0.8252 1
Hg1 0.1843 0.0000 0.2430 1
Ge1 0.0000 0.5000 0.5000 1